# CaPbAu

A relaxed CaPbAu crystal (PBEsol, Alexandria).

Cell lengths 3.564, 4.849, 4.849 Å; angles 120.00, 90.00, 90.00 degrees
Sites, in units of the cell vectors:
1 Ca 0.000 0.333 0.667
2 Au 0.500 0.000 0.000
3 Pb 0.500 0.667 0.333

Properties
For the total magnetic moment, the calculation gives 0.000 μB/atom.



# CaPb2Au

A relaxed CaPb2Au crystal (PBEsol, Alexandria).

Cell lengths 4.534, 4.659, 4.659 Å; angles 90.00, 90.00, 90.00 degrees
Sites, in units of the cell vectors:
1 Pb 0.000 0.000 0.500
2 Ca 0.500 0.000 0.000
3 Au 0.500 0.500 0.500
4 Pb 0.000 0.500 0.000

Properties
For the total magnetic moment, the calculation gives 0.000 μB/atom.



# CaPb2Au2

A relaxed CaPb2Au2 crystal (PBEsol, Alexandria).

Cell lengths 4.440, 4.440, 7.236 Å; angles 107.87, 107.87, 90.00 degrees
Sites, in units of the cell vectors:
1 Pb 0.250 0.750 0.500
2 Au 0.400 0.400 0.800
3 Ca 0.000 0.000 0.000
4 Pb 0.750 0.250 0.500
5 Au 0.600 0.600 0.200

Properties
For the total magnetic moment, the calculation gives 0.000 μB/atom.



# Ca2PbAu2

A relaxed Ca2PbAu2 crystal (PBEsol, Alexandria).

Cell lengths 3.676, 8.072, 8.072 Å; angles 90.00, 90.00, 90.00 degrees
Sites, in units of the cell vectors:
1 Au 0.000 0.123 0.377
2 Ca 0.500 0.827 0.327
3 Au 0.000 0.377 0.877
4 Pb 0.000 0.500 0.500
5 Ca 0.500 0.327 0.173
6 Ca 0.500 0.173 0.673
7 Au 0.000 0.877 0.623
8 Au 0.000 0.623 0.123
9 Ca 0.500 0.673 0.827
10 Pb 0.000 0.000 0.000

Properties
For the total magnetic moment, the calculation gives 0.000 μB/atom.



# Ca2PbAu

A relaxed Ca2PbAu crystal (PBEsol, Alexandria).

Cell lengths 3.576, 3.576, 8.002 Å; angles 90.00, 90.00, 90.00 degrees
Sites, in units of the cell vectors:
1 Ca 0.000 0.000 0.971
2 Au 0.500 0.500 0.750
3 Ca 0.000 0.000 0.529
4 Pb 0.500 0.500 0.250

Properties
For the total magnetic moment, the calculation gives 0.000 μB/atom.



# CaPd3Au

A relaxed CaPd3Au crystal (PBEsol, Alexandria).

Cell lengths 4.700, 4.700, 4.700 Å; angles 90.00, 90.00, 90.00 degrees
Sites, in units of the cell vectors:
1 Au 0.500 0.500 0.500
2 Ca 0.000 0.000 0.000
3 Pd 0.000 0.000 0.500
4 Pd 0.500 0.000 0.000
5 Pd 0.000 0.500 0.000

Properties
For the total magnetic moment, the calculation gives 0.000 μB/atom.



# CaPdAu2

A relaxed CaPdAu2 crystal (PBEsol, Alexandria).

Cell lengths 4.715, 4.715, 4.715 Å; angles 60.00, 60.00, 60.00 degrees
Sites, in units of the cell vectors:
1 Pd 0.500 0.500 0.500
2 Au 0.750 0.750 0.750
3 Au 0.250 0.250 0.250
4 Ca 0.000 0.000 0.000

Properties
For the total magnetic moment, the calculation gives 0.000 μB/atom.



# CaPd2Au2

A relaxed CaPd2Au2 crystal (PBEsol, Alexandria).

Cell lengths 3.210, 7.495, 7.495 Å; angles 90.00, 90.00, 90.00 degrees
Sites, in units of the cell vectors:
1 Pd 0.000 0.871 0.629
2 Pd 0.000 0.629 0.129
3 Au 0.500 0.833 0.333
4 Ca 0.000 0.000 0.000
5 Pd 0.000 0.129 0.371
6 Pd 0.000 0.371 0.871
7 Au 0.500 0.333 0.167
8 Au 0.500 0.667 0.833
9 Au 0.500 0.167 0.667
10 Ca 0.000 0.500 0.500

Properties
For the total magnetic moment, the calculation gives 0.000 μB/atom.



How do the records compare in E_form? In the order shown, they have -0.572; -0.353; -0.304; -0.690; -0.680; 0.928; -0.463; -0.413 eV per atom.
How do the records compare in E? In the order shown, they have -3.924; -3.867; -3.899; -3.912; -3.728; -3.858; -4.448; -4.793 eV/atom.